# 1
A plane-wave DFT calculation with PBEsol was carried out for a relaxed structure of Li3Zn.

crystal system = trigonal
electronic total energy = -7.61 eV/cell
ΔE_f = -0.0330 eV per atom

Lattice parameters (Å, degrees): 9.6000 9.6000 9.6000 17.05 17.05 17.05
Last column: nearest neighbours and their distance in Å.
Element x y z (fractional)
Li (0.0000, 0.0000, 0.0000)  12 Li 2.85-3.02
Li (0.2439, 0.2439, 0.2439)  3 Zn 2.74, 9 Li 2.85-3.02
Li (0.7561, 0.7561, 0.7561)  3 Zn 2.74, 9 Li 2.85-3.02
Zn (0.5000, 0.5000, 0.5000)  6 Li 2.74, 6 Zn 2.85

=====

# 2
A plane-wave DFT calculation with PBEsol was carried out for a relaxed structure of ScZn2Tc.

crystal system = tetragonal
electronic total energy = -21.98 eV/cell
ΔE_f = -0.2355 eV per atom

Lattice parameters (Å, degrees): 4.8292 4.8292 4.8292 132.85 132.85 68.89
Last column: nearest neighbours and their distance in Å.
Element x y z (fractional)
Sc (0.0000, 0.0000, 0.0000)  4 Tc 2.73, 8 Zn 2.77
Zn (0.2500, 0.7500, 0.5000)  4 Zn 2.73, 4 Tc 2.77, 4 Sc 2.77
Zn (0.7500, 0.2500, 0.5000)  4 Zn 2.73, 4 Tc 2.77, 4 Sc 2.77
Tc (0.5000, 0.5000, 0.0000)  4 Sc 2.73, 8 Zn 2.77

=====

# 3
A plane-wave DFT calculation with PBEsol was carried out for a relaxed structure of LaCoAu.

crystal system = cubic
electronic total energy = -15.51 eV/cell
ΔE_f = 0.4984 eV per atom

Lattice parameters (Å, degrees): 4.7205 4.7205 4.7205 60.00 60.00 60.00
Last column: nearest neighbours and their distance in Å.
Element x y z (fractional)
La (0.0000, 0.0000, 0.0000)  4 Co 2.89, 4 Au 2.89
Co (0.7500, 0.7500, 0.7500)  4 La 2.89
Au (0.2500, 0.2500, 0.2500)  4 La 2.89

=====

# 4
A plane-wave DFT calculation with PBEsol was carried out for a relaxed structure of KReCl.

crystal system = trigonal
electronic total energy = -14.18 eV/cell
E_form (uncorrected) = 0.763 eV per atom

Lattice parameters (Å, degrees): 2.9612 2.9612 7.2847 90.00 90.00 120.00
Last column: nearest neighbours and their distance in Å.
Element x y z (fractional)
K (0.0000, 0.0000, 0.0000)  6 K 2.96, 3 Cl 3.08, 3 Re 3.31
Re (0.6667, 0.3333, 0.6113)  3 Cl 2.55
Cl (0.3333, 0.6667, 0.3516)  3 Re 2.55

=====

# 5
A plane-wave DFT calculation with PBEsol was carried out for a relaxed structure of PrCdHg2.

crystal system = cubic
electronic total energy = -9.49 eV/cell
ΔE_f = -0.4949 eV per atom

Lattice parameters (Å, degrees): 5.1035 5.1035 5.1035 60.00 60.00 60.00
Last column: nearest neighbours and their distance in Å.
Element x y z (fractional)
Pr (0.0000, 0.0000, 0.0000)  8 Hg 3.13
Cd (0.5000, 0.5000, 0.5000)  8 Hg 3.13
Hg (0.2500, 0.2500, 0.2500)  4 Cd 3.13, 4 Pr 3.13
Hg (0.7500, 0.7500, 0.7500)  4 Cd 3.13, 4 Pr 3.13

=====

# 6
A plane-wave DFT calculation with PBEsol was carried out for a relaxed structure of LaOs3Pd.

crystal system = cubic
electronic total energy = -38.88 eV/cell
ΔE_f = 1.8142 eV per atom

Lattice parameters (Å, degrees): 4.7281 4.7281 4.7281 90.00 90.00 90.00
Last column: nearest neighbours and their distance in Å.
Element x y z (fractional)
La (0.0000, 0.0000, 0.0000)  12 Os 3.34
Os (0.0000, 0.5000, 0.5000)  2 Pd 2.36
Os (0.5000, 0.0000, 0.5000)  2 Pd 2.36
Os (0.5000, 0.5000, 0.0000)  2 Pd 2.36
Pd (0.5000, 0.5000, 0.5000)  6 Os 2.36

=====

# 7
A plane-wave DFT calculation with PBEsol was carried out for a relaxed structure of CoRh2.

crystal system = monoclinic
electronic total energy = -47.68 eV/cell
ΔE_f = 0.0587 eV per atom

Lattice parameters (Å, degrees): 4.9497 4.9497 6.2049 103.66 103.66 30.95
Last column: nearest neighbours and their distance in Å.
Element x y z (fractional)
Co (0.0000, 0.0000, 0.0000)  8 Rh 2.55-2.66, 4 Co 2.57-2.64
Co (0.6627, 0.6627, 0.3199)  8 Rh 2.51-2.68, 4 Co 2.57-2.64
Rh (0.0563, 0.0563, 0.6019)  9 Rh 2.57-2.65, 3 Co 2.59-2.65
Rh (0.3330, 0.3330, 0.6617)  8 Rh 2.57-2.64, 4 Co 2.66-2.68
Rh (0.3880, 0.3880, 0.2681)  5 Co 2.55-2.61, 7 Rh 2.62-2.64
Rh (0.7175, 0.7175, 0.9435)  4 Co 2.51-2.63, 8 Rh 2.62-2.65

=====

# 8
A plane-wave DFT calculation with PBEsol was carried out for a relaxed structure of SrGe3H.

crystal system = cubic
electronic total energy = -11.37 eV/cell

Lattice parameters (Å, degrees): 5.6953 5.6953 5.6953 90.00 90.00 90.00
Last column: nearest neighbours and their distance in Å.
Element x y z (fractional)
Sr (0.0000, 0.0000, 0.0000)  6 Ge 2.85
Ge (0.0000, 0.0000, 0.5000)  2 Sr 2.85
Ge (0.0000, 0.5000, 0.0000)  2 Sr 2.85
Ge (0.5000, 0.0000, 0.0000)  2 Sr 2.85
H (0.5000, 0.5000, 0.5000)  12 Ge 4.03

=====

# 9
A plane-wave DFT calculation with PBEsol was carried out for a relaxed structure of TiGaNi.

crystal system = hexagonal
electronic total energy = -58.81 eV/cell
ΔE_f = -0.5943 eV per atom

Lattice parameters (Å, degrees): 6.7594 6.7594 3.0455 90.00 90.00 120.00
Last column: nearest neighbours and their distance in Å.
Element x y z (fractional)
Ti (0.0000, 0.6096, 0.0000)  5 Ni 2.58-2.64, 6 Ga 2.72-2.80
Ti (0.3904, 0.3904, 0.0000)  5 Ni 2.58-2.64, 6 Ga 2.72-2.80
Ti (0.6096, 0.0000, 0.0000)  5 Ni 2.58-2.64, 6 Ga 2.72-2.80
Ga (0.0000, 0.2754, 0.5000)  4 Ni 2.40-2.47
Ga (0.2754, 0.0000, 0.5000)  4 Ni 2.40-2.47
Ga (0.7246, 0.7246, 0.5000)  4 Ni 2.40-2.47
Ni (0.0000, 0.0000, 0.0000)  6 Ga 2.40, 3 Ti 2.64
Ni (0.3333, 0.6667, 0.5000)  3 Ga 2.47, 6 Ti 2.58
Ni (0.6667, 0.3333, 0.5000)  3 Ga 2.47, 6 Ti 2.58

=====

# 10
A plane-wave DFT calculation with PBEsol was carried out for a relaxed structure of BeFeIr2.

crystal system = orthorhombic
electronic total energy = -32.51 eV/cell
ΔE_f = 0.0252 eV per atom

Lattice parameters (Å, degrees): 2.7694 4.0289 4.4780 90.00 90.00 90.00
Last column: nearest neighbours and their distance in Å.
Element x y z (fractional)
Be (0.0000, 0.0000, 0.0000)  4 Ir 2.44, 4 Fe 2.63
Fe (0.5000, 0.0000, 0.5000)  4 Ir 2.44, 4 Be 2.63
Ir (0.0000, 0.5000, 0.5000)  4 Fe 2.44, 4 Ir 2.63
Ir (0.5000, 0.5000, 0.0000)  4 Be 2.44, 4 Ir 2.63

=====

# 11
A plane-wave DFT calculation with PBEsol was carried out for a relaxed structure of IrPt3.

crystal system = cubic
electronic total energy = -30.39 eV/cell
ΔE_f = 0.0809 eV per atom

Lattice parameters (Å, degrees): 3.8929 3.8929 3.8929 90.00 90.00 90.00
Last column: nearest neighbours and their distance in Å.
Element x y z (fractional)
Ir (0.0000, 0.0000, 0.0000)  12 Pt 2.75
Pt (0.0000, 0.5000, 0.5000)  4 Ir 2.75, 8 Pt 2.75
Pt (0.5000, 0.0000, 0.5000)  4 Ir 2.75, 8 Pt 2.75
Pt (0.5000, 0.5000, 0.0000)  4 Ir 2.75, 8 Pt 2.75

=====

# 12
A plane-wave DFT calculation with PBEsol was carried out for a relaxed structure of K2RbPrV2O8.

crystal system = trigonal
electronic total energy = -105.15 eV/cell
E_form (uncorrected) = -2.529 eV per atom

Lattice parameters (Å, degrees): 6.0485 6.0485 7.7283 90.00 90.00 120.00
Last column: nearest neighbours and their distance in Å.
Element x y z (fractional)
K (0.3333, 0.6667, 0.1935)  1 O 2.55
K (0.6667, 0.3333, 0.8065)  1 O 2.55
Rb (0.0000, 0.0000, 0.5000)  6 O 3.07
Pr (0.0000, 0.0000, 0.0000)  6 O 2.35
V (0.3333, 0.6667, 0.7372)  4 O 1.66-1.74
V (0.6667, 0.3333, 0.2628)  4 O 1.66-1.74
O (0.1781, 0.3562, 0.8159)  1 V 1.74
O (0.1781, 0.8219, 0.8159)  1 V 1.74
O (0.3333, 0.6667, 0.5228)  1 V 1.66
O (0.3562, 0.1781, 0.1841)  1 V 1.74
O (0.6438, 0.8219, 0.8159)  1 V 1.74
O (0.6667, 0.3333, 0.4772)  1 V 1.66
O (0.8219, 0.1781, 0.1841)  1 V 1.74
O (0.8219, 0.6438, 0.1841)  1 V 1.74

=====

# 13
A plane-wave DFT calculation with PBEsol was carried out for a relaxed structure of CrCuNi2.

crystal system = trigonal
electronic total energy = -26.49 eV/cell
ΔE_f = 0.1007 eV per atom

Lattice parameters (Å, degrees): 8.3282 8.3282 8.3282 16.98 16.98 16.98
Last column: nearest neighbours and their distance in Å.
Element x y z (fractional)
Cr (0.0000, 0.0000, 0.0000)  3 Ni 2.43, 6 Cr 2.46, 3 Cu 2.58
Cu (0.2457, 0.2457, 0.2457)  6 Cu 2.46, 3 Ni 2.49, 3 Cr 2.58
Ni (0.4959, 0.4959, 0.4959)  9 Ni 2.46-2.47, 3 Cu 2.49
Ni (0.7469, 0.7469, 0.7469)  3 Cr 2.43, 9 Ni 2.46-2.47

=====

# 14
A plane-wave DFT calculation with PBEsol was carried out for a relaxed structure of FeCoNi6.

crystal system = orthorhombic
electronic total energy = -215.35 eV/cell
ΔE_f = -0.0240 eV per atom

Lattice parameters (Å, degrees): 6.0124 6.0124 9.8468 90.00 90.00 109.56
Last column: nearest neighbours and their distance in Å.
Element x y z (fractional)
Fe (0.0000, 0.0000, 0.2503)  12 Ni 2.46
Fe (0.0000, 0.0000, 0.7497)  12 Ni 2.46
Fe (0.2487, 0.7513, 0.0000)  12 Ni 2.44-2.47
Fe (0.7513, 0.2487, 0.0000)  12 Ni 2.44-2.47
Co (0.2483, 0.7517, 0.5000)  12 Ni 2.44-2.47
Co (0.5000, 0.5000, 0.2514)  12 Ni 2.45-2.48
Co (0.5000, 0.5000, 0.7486)  12 Ni 2.45-2.48
Co (0.7517, 0.2483, 0.5000)  12 Ni 2.44-2.47
Ni (0.0000, 0.0000, 0.0000)  4 Fe 2.44-2.46, 8 Ni 2.46
Ni (0.0000, 0.0000, 0.5000)  2 Co 2.44, 8 Ni 2.46, 2 Fe 2.46
Ni (0.1255, 0.3758, 0.3752)  8 Ni 2.45-2.46, 3 Co 2.45-2.46, 1 Fe 2.46
Ni (0.1255, 0.3758, 0.6248)  8 Ni 2.45-2.46, 3 Co 2.45-2.46, 1 Fe 2.46
Ni (0.1259, 0.3758, 0.1254)  8 Ni 2.45-2.47, 3 Fe 2.46, 1 Co 2.46
Ni (0.1259, 0.3758, 0.8746)  8 Ni 2.45-2.47, 3 Fe 2.46, 1 Co 2.46
Ni (0.2505, 0.7495, 0.2510)  8 Ni 2.45-2.47, 2 Co 2.45, 2 Fe 2.46-2.47
Ni (0.2505, 0.7495, 0.7490)  8 Ni 2.45-2.47, 2 Co 2.45, 2 Fe 2.46-2.47
Ni (0.3758, 0.1255, 0.3752)  8 Ni 2.45-2.46, 3 Co 2.45-2.46, 1 Fe 2.46
Ni (0.3758, 0.1255, 0.6248)  8 Ni 2.45-2.46, 3 Co 2.45-2.46, 1 Fe 2.46
Ni (0.3758, 0.1259, 0.1254)  8 Ni 2.45-2.47, 3 Fe 2.46, 1 Co 2.46
Ni (0.3758, 0.1259, 0.8746)  8 Ni 2.45-2.47, 3 Fe 2.46, 1 Co 2.46
Ni (0.5000, 0.5000, 0.0000)  8 Ni 2.45, 2 Fe 2.47, 2 Co 2.48
Ni (0.5000, 0.5000, 0.5000)  4 Co 2.45-2.47, 8 Ni 2.45
Ni (0.6242, 0.8741, 0.1254)  8 Ni 2.45-2.47, 3 Fe 2.46, 1 Co 2.46
Ni (0.6242, 0.8741, 0.8746)  8 Ni 2.45-2.47, 3 Fe 2.46, 1 Co 2.46
Ni (0.6242, 0.8745, 0.3752)  8 Ni 2.45-2.46, 3 Co 2.45-2.46, 1 Fe 2.46
Ni (0.6242, 0.8745, 0.6248)  8 Ni 2.45-2.46, 3 Co 2.45-2.46, 1 Fe 2.46
Ni (0.7495, 0.2505, 0.2510)  8 Ni 2.45-2.47, 2 Co 2.45, 2 Fe 2.46-2.47
Ni (0.7495, 0.2505, 0.7490)  8 Ni 2.45-2.47, 2 Co 2.45, 2 Fe 2.46-2.47
Ni (0.8741, 0.6242, 0.1254)  8 Ni 2.45-2.47, 3 Fe 2.46, 1 Co 2.46
Ni (0.8741, 0.6242, 0.8746)  8 Ni 2.45-2.47, 3 Fe 2.46, 1 Co 2.46
Ni (0.8745, 0.6242, 0.3752)  8 Ni 2.45-2.46, 3 Co 2.45-2.46, 1 Fe 2.46
Ni (0.8745, 0.6242, 0.6248)  8 Ni 2.45-2.46, 3 Co 2.45-2.46, 1 Fe 2.46

=====

# 15
A plane-wave DFT calculation with PBEsol was carried out for a relaxed structure of LaMn2Sb.

crystal system = trigonal
electronic total energy = -29.52 eV/cell
E_form (uncorrected) = -0.023 eV per atom

Lattice parameters (Å, degrees): 5.4096 5.4096 5.4096 48.40 48.40 48.40
Last column: nearest neighbours and their distance in Å.
Element x y z (fractional)
La (0.0000, 0.0000, 0.0000)  2 Mn 2.72
Mn (0.1904, 0.1904, 0.1904)  3 Sb 2.58, 3 Mn 2.65, 1 La 2.72
Mn (0.8096, 0.8096, 0.8096)  3 Sb 2.58, 3 Mn 2.65, 1 La 2.72
Sb (0.5000, 0.5000, 0.5000)  6 Mn 2.58

=====

# 16
A plane-wave DFT calculation with PBEsol was carried out for a relaxed structure of Ba4MgCr.

crystal system = cubic
electronic total energy = -15.82 eV/cell
ΔE_f = 0.7892 eV per atom

Lattice parameters (Å, degrees): 7.1633 7.1633 7.1633 60.00 60.00 60.00
Last column: nearest neighbours and their distance in Å.
Element x y z (fractional)
Ba (0.1248, 0.1248, 0.1248)  6 Ba 3.58-3.59
Ba (0.1248, 0.1248, 0.6255)  6 Ba 3.58-3.59
Ba (0.1248, 0.6255, 0.1248)  6 Ba 3.58-3.59
Ba (0.6255, 0.1248, 0.1248)  6 Ba 3.58-3.59
Mg (0.5000, 0.5000, 0.5000)  12 Ba 4.20, 4 Cr 4.39
Cr (0.7500, 0.7500, 0.7500)  12 Ba 4.20, 4 Mg 4.39

=====

# 17
A plane-wave DFT calculation with PBEsol was carried out for a relaxed structure of ZrIn3Br.

crystal system = cubic
electronic total energy = -16.04 eV/cell
E_form (uncorrected) = 0.773 eV per atom

Lattice parameters (Å, degrees): 5.3054 5.3054 5.3054 90.00 90.00 90.00
Last column: nearest neighbours and their distance in Å.
Element x y z (fractional)
Zr (0.0000, 0.0000, 0.0000)  12 In 3.75
In (0.0000, 0.5000, 0.5000)  2 Br 2.65
In (0.5000, 0.0000, 0.5000)  2 Br 2.65
In (0.5000, 0.5000, 0.0000)  2 Br 2.65
Br (0.5000, 0.5000, 0.5000)  6 In 2.65

=====

# 18
A plane-wave DFT calculation with PBEsol was carried out for a relaxed structure of BaPdAu3.

crystal system = cubic
electronic total energy = -12.85 eV/cell
ΔE_f = 1.4065 eV per atom

Lattice parameters (Å, degrees): 5.7932 5.7932 5.7932 90.00 90.00 90.00
Last column: nearest neighbours and their distance in Å.
Element x y z (fractional)
Ba (0.0000, 0.0000, 0.0000)  6 Au 2.90
Pd (0.5000, 0.5000, 0.5000)  12 Au 4.10
Au (0.0000, 0.0000, 0.5000)  2 Ba 2.90
Au (0.0000, 0.5000, 0.0000)  2 Ba 2.90
Au (0.5000, 0.0000, 0.0000)  2 Ba 2.90

=====

# 19
A plane-wave DFT calculation with PBEsol was carried out for a relaxed structure of SrCuOs2.

crystal system = monoclinic
relative energy among the computed polymorphs = 249 meV per atom
electronic total energy = -27.66 eV/cell
ΔE_f = 0.7378 eV per atom

Lattice parameters (Å, degrees): 4.2632 4.4442 4.2910 90.00 106.44 90.00
Last column: nearest neighbours and their distance in Å.
Element x y z (fractional)
Sr (0.0000, 0.0000, 0.0000)  2 Cu 2.56
Cu (0.5000, 0.0000, 0.5000)  4 Os 2.53, 2 Sr 2.56
Os (0.2887, 0.5000, 0.6344)  2 Os 2.40, 2 Cu 2.53
Os (0.7113, 0.5000, 0.3656)  2 Os 2.40, 2 Cu 2.53

=====

# 20
A plane-wave DFT calculation with PBEsol was carried out for a relaxed structure of LaPtRh2.

crystal system = tetragonal
electronic total energy = -29.96 eV/cell
ΔE_f = -0.3429 eV per atom

Lattice parameters (Å, degrees): 4.9212 4.9212 4.9212 129.57 129.57 74.10
Last column: nearest neighbours and their distance in Å.
Element x y z (fractional)
La (0.0000, 0.0000, 0.0000)  8 Rh 2.87, 4 Pt 2.97
Pt (0.5000, 0.5000, 0.0000)  8 Rh 2.87, 4 La 2.97
Rh (0.2500, 0.7500, 0.5000)  4 Pt 2.87, 4 La 2.87, 4 Rh 2.97
Rh (0.7500, 0.2500, 0.5000)  4 Pt 2.87, 4 La 2.87, 4 Rh 2.97

=====

Fermi-level density of states list, top to bottom, in states/eV per atom: 0.32, 0.44, 1.86, 0.43, 0.28, 1.78, 1.27, 1.28, 0.65, 0.73, 1.55, 0.00, 0.98, 1.29, 0.76, 1.49, 0.71, 2.24, 0.69, 1.30